(1)
NdDy6Y2Tm: optimized geometry, GGA-PBE.

Unit cell a=9.1919 b=15.0154 c=9.4218 alpha=90.00 beta=95.63 gamma=90.00
With the nearest neighbours (Å) after each atom.
Space group C2/c (No. 15)
Asymmetric unit:
Nd 0.0000 0.0304 0.2500 (multiplicity 4)  4 Y 3.37-3.50, 4 Dy 3.55-3.70
Dy 0.0606 0.1830 0.9422 (multiplicity 8)  7 Dy 3.42-3.71, 1 Y 3.51, 2 Nd 3.70-3.78
Dy 0.0962 0.3872 0.1153 (multiplicity 8)  4 Dy 3.20-3.47, 3 Y 3.28-3.45, 2 Tm 3.44-3.49
Dy 0.2135 0.2254 0.3158 (multiplicity 8)  3 Dy 3.20-3.57, 1 Y 3.42, 1 Tm 3.44, 1 Nd 3.55
Y 0.2460 0.4488 0.4505 (multiplicity 8)  6 Dy 3.28-3.59, 2 Nd 3.37-3.50, 1 Tm 3.50
Tm 0.0000 0.4109 0.7500 (multiplicity 4)  6 Dy 3.44-3.49, 4 Y 3.50-3.83

Summary:
Size of the total moment ... 0.000 μB/atom
Calculated formation energy ... 0.1241 eV/atom

(2)
BaSr2PmSe4: optimized geometry, GGA-PBE.

Unit cell a=7.6743 b=4.4207 c=7.7354 alpha=90.00 beta=109.21 gamma=90.00
With the nearest neighbours (Å) after each atom.
Space group P2/m (No. 10)
Asymmetric unit:
Ba 0.0000 0.0000 0.0000 (multiplicity 1)  6 Se 3.21
Sr 0.5000 0.0000 0.5000 (multiplicity 1)  6 Se 3.07-3.08
Sr 0.5000 0.5000 0.0000 (multiplicity 1)  6 Se 3.21-3.24
Pm 0.0000 0.5000 0.5000 (multiplicity 1)  6 Se 3.05-3.07
Se 0.2438 0.0000 0.7335 (multiplicity 2)  2 Pm 3.07, 3 Sr 3.08-3.21, 1 Ba 3.21
Se 0.2533 0.5000 0.2682 (multiplicity 2)  1 Pm 3.05, 3 Sr 3.07-3.24, 2 Ba 3.21

Summary:
Size of the total moment ... 0.000 μB/atom
Uncorrected formation energy ... -1.950 eV/atom

(3)
CsTa4S8: optimized geometry, GGA-PBE.

Unit cell a=10.5972 b=10.5972 c=10.5972 alpha=90.00 beta=90.00 gamma=90.00
With the nearest neighbours (Å) after each atom.
Space group F-43m (No. 216)
Asymmetric unit:
Cs 0.0000 0.0000 0.0000 (multiplicity 4)  4 S 2.82
Ta 0.1093 0.1093 0.3907 (multiplicity 16)  6 S 2.47-2.60
S 0.1228 0.1228 0.6228 (multiplicity 16)  3 Ta 2.47
S 0.1537 0.1537 0.1537 (multiplicity 16)  3 Ta 2.60, 1 Cs 2.82, 3 S 2.89

Summary:
Size of the total moment ... 0.000 μB/atom
Uncorrected formation energy ... -0.736 eV/atom

(4)
ReGe: optimized geometry, GGA-PBE.

Unit cell a=3.0431 b=13.0189 c=4.5486 alpha=90.00 beta=90.00 gamma=90.00
With the nearest neighbours (Å) after each atom.
Space group Amm2 (No. 38)
Asymmetric unit:
Re 0.0000 0.0000 0.0000 (multiplicity 2)  6 Ge 2.65-2.83, 4 Re 2.80
Re 0.5000 0.1642 0.7857 (multiplicity 4)  7 Ge 2.56-2.84, 2 Re 2.80
Ge 0.0000 0.1723 0.3121 (multiplicity 4)  7 Re 2.62-2.84, 2 Ge 2.81
Ge 0.5000 0.0000 0.4759 (multiplicity 2)  6 Re 2.56-2.83, 4 Ge 2.81

Summary:
Size of the total moment ... 0.000 μB/atom
Calculated formation energy ... 0.1999 eV/atom

(5)
K2InNi: optimized geometry, GGA-PBE.

Unit cell a=5.0570 b=4.8122 c=6.1277 alpha=90.00 beta=105.17 gamma=90.00
With the nearest neighbours (Å) after each atom.
Space group P2/m (No. 10)
Asymmetric unit:
K 0.1749 0.0000 0.3032 (multiplicity 2)  2 Ni 3.03, 1 K 3.34
In 0.5000 0.5000 0.0000 (multiplicity 1)  2 Ni 2.53
Ni 0.0000 0.5000 0.0000 (multiplicity 1)  2 In 2.53

Summary:
Size of the total moment ... 0.000 μB/atom
Calculated formation energy ... 0.3320 eV/atom

(6)
K2MnMo: optimized geometry, GGA-PBE.

Unit cell a=5.7637 b=12.1273 c=2.8408 alpha=90.00 beta=90.00 gamma=90.00
With the nearest neighbours (Å) after each atom.
Space group Cmmm (No. 65)
Asymmetric unit:
K 0.2500 0.2500 0.0000 (multiplicity 4)  4 K 2.84-2.88
Mn 0.0000 0.0000 0.5000 (multiplicity 2)  2 Mn 2.84, 2 Mo 2.88
Mo 0.0000 0.5000 0.5000 (multiplicity 2)  2 Mo 2.84, 2 Mn 2.88

Summary:
Size of the total moment ... 0.810 μB/atom
Calculated formation energy ... 1.4938 eV/atom

no.,E_tot (eV/cell)
1,-194.2
2,-39.6
3,-363.4
4,-100.0
5,-9.4
6,-32.4